(1)
A geometry-optimized Tl4Hg15Sb structure. Source: Alexandria, functional PBE.

a b c (Å): 5.3509 5.3518 20.1607
angles (deg): 90.00 90.00 90.00
Last column: nearest neighbours and their distance in Å.
Fractional positions:
Tl: 0.0000 0.0000 0.1868  8 Hg 3.30-3.46
Tl: 0.0000 0.0000 0.3982  8 Hg 3.37-3.38
Tl: 0.0000 0.0000 0.6018  8 Hg 3.37-3.38
Tl: 0.0000 0.0000 0.8132  8 Hg 3.30-3.46
Hg: 0.5000 0.5000 0.0000  8 Hg 3.24
Hg: 0.5000 0.5000 0.1959  8 Hg 3.34-3.42
Hg: 0.5000 0.5000 0.3977  8 Hg 3.38
Hg: 0.5000 0.5000 0.6023  8 Hg 3.38
Hg: 0.5000 0.5000 0.8041  8 Hg 3.34-3.42
Hg: 0.5000 0.0000 0.0906  2 Sb 3.24, 4 Hg 3.24-3.42, 2 Tl 3.30
Hg: 0.5000 0.0000 0.2955  4 Hg 3.35-3.38, 4 Tl 3.38-3.46
Hg: 0.5000 0.0000 0.5000  4 Tl 3.37, 4 Hg 3.38
Hg: 0.5000 0.0000 0.7045  4 Hg 3.35-3.38, 4 Tl 3.38-3.46
Hg: 0.5000 0.0000 0.9094  2 Sb 3.24, 4 Hg 3.24-3.42, 2 Tl 3.30
Hg: 0.0000 0.5000 0.0906  4 Hg 3.24-3.42, 2 Sb 3.24, 2 Tl 3.30
Hg: 0.0000 0.5000 0.2955  4 Hg 3.34-3.38, 4 Tl 3.38-3.46
Hg: 0.0000 0.5000 0.5000  4 Tl 3.37, 4 Hg 3.38
Hg: 0.0000 0.5000 0.7045  4 Hg 3.34-3.38, 4 Tl 3.38-3.46
Hg: 0.0000 0.5000 0.9094  4 Hg 3.24-3.42, 2 Sb 3.24, 2 Tl 3.30
Sb: 0.0000 0.0000 0.0000  8 Hg 3.24

Calculated values
DOS at the Fermi energy (states/eV per cell): 6.259
ρ (g/cm3): 11.4
Formation energy without anion corrections (eV/f.u.): 0.2

---

(2)
A geometry-optimized Tl8Hg2Sb structure. Source: Alexandria, functional PBE.

a b c (Å): 5.7606 8.5073 8.5073
angles (deg): 71.32 74.97 74.97
Last column: nearest neighbours and their distance in Å.
Fractional positions:
Tl: 0.7961 0.1849 0.6566  1 Sb 3.20, 4 Tl 3.27-3.56, 1 Hg 3.31
Tl: 0.2039 0.3434 0.8151  1 Sb 3.20, 4 Tl 3.27-3.56, 1 Hg 3.31
Tl: 0.9020 0.2472 0.2472  2 Hg 3.14-3.23, 3 Tl 3.27-3.44, 1 Sb 3.28
Tl: 0.0980 0.7528 0.7528  2 Hg 3.14-3.23, 3 Tl 3.27-3.44, 1 Sb 3.28
Tl: 0.7961 0.6566 0.1849  1 Sb 3.20, 4 Tl 3.27-3.56, 1 Hg 3.31
Tl: 0.2039 0.8151 0.3434  1 Sb 3.20, 4 Tl 3.27-3.56, 1 Hg 3.31
Tl: 0.2974 0.3974 0.3974  1 Hg 3.33, 7 Tl 3.35-3.69
Tl: 0.7026 0.6026 0.6026  1 Hg 3.33, 7 Tl 3.35-3.69
Hg: 0.4729 0.1434 0.1434  1 Sb 3.05, 5 Tl 3.14-3.33
Hg: 0.5271 0.8566 0.8566  1 Sb 3.05, 5 Tl 3.14-3.33
Sb: 0.0000 0.0000 0.0000  2 Hg 3.05, 6 Tl 3.20-3.28

Calculated values
DOS at the Fermi energy (states/eV per cell): 4.947
ρ (g/cm3): 9.6
Formation energy without anion corrections (eV/f.u.): 0.8
Energy relative to the lowest polymorph listed for this composition (meV per atom): 66

---

(3)
A geometry-optimized Tl8Hg4Sb structure. Source: Alexandria, functional PBE.

a b c (Å): 5.3892 5.8674 15.1118
angles (deg): 69.02 78.78 61.63
Last column: nearest neighbours and their distance in Å.
Fractional positions:
Tl: 0.1063 0.4330 0.3586  4 Hg 3.10-3.47, 2 Tl 3.29-3.45
Tl: 0.5011 0.7998 0.1949  1 Sb 3.22, 4 Hg 3.34-3.47, 2 Tl 3.44-3.58
Tl: 0.5304 0.2040 0.7387  1 Sb 3.22, 4 Hg 3.34-3.47, 2 Tl 3.44-3.58
Tl: 0.9259 0.5706 0.5750  4 Hg 3.10-3.47, 2 Tl 3.29-3.45
Tl: 0.8022 0.1018 0.2913  7 Tl 3.29-3.66, 3 Hg 3.41-3.43
Tl: 0.1874 0.7378 0.8922  3 Sb 3.34-3.62, 4 Hg 3.36-3.73, 1 Tl 3.53
Tl: 0.2295 0.9016 0.6427  7 Tl 3.29-3.66, 3 Hg 3.41-3.43
Tl: 0.8431 0.2649 0.0416  3 Sb 3.34-3.62, 4 Hg 3.35-3.73, 1 Tl 3.53
Hg: 0.3870 0.8022 0.4251  1 Hg 2.97, 1 Tl 3.10
Hg: 0.8513 0.4975 0.8036  7 Tl 3.29-3.47
Hg: 0.1798 0.5059 0.1300  7 Tl 3.29-3.47
Hg: 0.6451 0.2013 0.5089  1 Hg 2.97, 1 Tl 3.10
Sb: 0.5151 0.0016 0.9668  6 Tl 3.22-3.38

Calculated values
DOS at the Fermi energy (states/eV per cell): 5.282
ρ (g/cm3): 10.8
Formation energy without anion corrections (eV/f.u.): 0.1

---

| no. | final energy (eV/atom) | volume (Å³/f.u.) |
| --- | --- | --- |
| 1 | -0.897 | 577.35 |
| 2 | -2.077 | 374.31 |
| 3 | -1.860 | 392.43 |